# LiNb4CdN8 GGA-PBE optimized geometry
data_LiNb4CdN8
_chemical_formula_sum 'Li1 Nb4 Cd1 N8'
_space_group_name_H-M_alt 'P 1'
_space_group_IT_number 1
_space_group_name_Hall 'P 1'
_cell_length_a 6.3324
_cell_length_b 6.3324
_cell_length_c 6.3324
_cell_angle_alpha 60.14
_cell_angle_beta 60.14
_cell_angle_gamma 60.14
loop_
_atom_site_label
_atom_site_fract_x
_atom_site_fract_y
_atom_site_fract_z
Li1 0.0000 0.0000 0.0000
Nb1 0.0038 0.0038 0.4853
Nb2 0.0038 0.4853 0.0038
Nb3 0.4853 0.0038 0.0038
Nb4 0.6231 0.6231 0.6231
Cd1 0.3767 0.3767 0.3767
N1 0.2385 0.2385 0.2385
N2 0.2442 0.7471 0.7471
N3 0.2489 0.2489 0.7987
N4 0.2489 0.7987 0.2489
N5 0.7471 0.2442 0.7471
N6 0.7471 0.7471 0.2442
N7 0.7594 0.7594 0.7594
N8 0.7987 0.2489 0.2489
# Magnetization, μB per atom: 0.04
# Energy relative to the elements, uncorrected, eV/atom: -0.442

# Ca5AsPb2 GGA-PBE optimized geometry
data_Ca5AsPb2
_chemical_formula_sum 'Ca10 As2 Pb4'
_space_group_name_H-M_alt 'P 1'
_space_group_IT_number 1
_space_group_name_Hall 'P 1'
_cell_length_a 8.7089
_cell_length_b 13.6384
_cell_length_c 4.3608
_cell_angle_alpha 90.00
_cell_angle_beta 90.00
_cell_angle_gamma 90.00
loop_
_atom_site_label
_atom_site_fract_x
_atom_site_fract_y
_atom_site_fract_z
Ca1 0.0000 0.0000 0.0000
Ca2 0.1642 0.3099 0.0000
Ca3 0.1697 0.5902 0.5000
Ca4 0.3303 0.0902 0.5000
Ca5 0.3358 0.8099 0.0000
Ca6 0.5000 0.5000 0.0000
Ca7 0.6642 0.1901 0.0000
Ca8 0.6697 0.9098 0.5000
Ca9 0.8303 0.4098 0.5000
Ca10 0.8358 0.6901 0.0000
As1 0.0000 0.5000 0.0000
As2 0.5000 0.0000 0.0000
Pb1 0.0382 0.8245 0.5000
Pb2 0.4618 0.3245 0.5000
Pb3 0.5382 0.6755 0.5000
Pb4 0.9618 0.1755 0.5000
# Formation enthalpy at 0 K, eV/atom: -0.711
# Magnetization, μB per atom: 0.00

# AlCrRh2W GGA-PBE optimized geometry
data_AlCrRh2W
_chemical_formula_sum 'Al1 Cr1 Rh2 W1'
_space_group_name_H-M_alt 'P 1'
_space_group_IT_number 1
_space_group_name_Hall 'P 1'
_cell_length_a 4.2750
_cell_length_b 4.2750
_cell_length_c 4.3532
_cell_angle_alpha 90.00
_cell_angle_beta 90.00
_cell_angle_gamma 90.00
loop_
_atom_site_label
_atom_site_fract_x
_atom_site_fract_y
_atom_site_fract_z
Al1 0.0000 0.0000 0.0000
Cr1 0.0000 0.0000 0.5000
Rh1 0.0000 0.5000 0.0000
Rh2 0.5000 0.0000 0.0000
W1 0.5000 0.5000 0.5000
# Formation enthalpy at 0 K, eV/atom: 1.066
# Magnetization, μB per atom: 0.00
# Energy relative to the lowest polymorph listed for this composition, eV/f.u.: 0.101

# FeCuSi2 GGA-PBE optimized geometry
data_FeCuSi2
_chemical_formula_sum 'Fe1 Cu1 Si2'
_space_group_name_H-M_alt 'P 1'
_space_group_IT_number 1
_space_group_name_Hall 'P 1'
_cell_length_a 3.1872
_cell_length_b 3.1872
_cell_length_c 4.7540
_cell_angle_alpha 90.00
_cell_angle_beta 90.00
_cell_angle_gamma 90.00
loop_
_atom_site_label
_atom_site_fract_x
_atom_site_fract_y
_atom_site_fract_z
Fe1 0.0000 0.0000 0.0000
Cu1 0.5000 0.5000 0.6944
Si1 0.0000 0.0000 0.4905
Si2 0.5000 0.5000 0.1895
# Magnetization, μB per atom: 0.23
# Energy relative to the elements, uncorrected, eV/atom: -0.159

# K2RbTlAu GGA-PBE optimized geometry
data_K2RbTlAu
_chemical_formula_sum 'K2 Rb1 Tl1 Au1'
_space_group_name_H-M_alt 'P 1'
_space_group_IT_number 1
_space_group_name_Hall 'P 1'
_cell_length_a 6.8802
_cell_length_b 6.8802
_cell_length_c 5.3753
_cell_angle_alpha 90.00
_cell_angle_beta 90.00
_cell_angle_gamma 90.00
loop_
_atom_site_label
_atom_site_fract_x
_atom_site_fract_y
_atom_site_fract_z
K1 0.0000 0.5000 0.0000
K2 0.5000 0.0000 0.0000
Rb1 0.0000 0.0000 0.5000
Tl1 0.5000 0.5000 0.0000
Au1 0.5000 0.5000 0.5000
# Formation enthalpy at 0 K, eV/atom: 0.017
# Magnetization, μB per atom: 0.00
# Energy relative to the lowest polymorph listed for this composition, eV/f.u.: 0.562

# Li3Dy3AsO8 GGA-PBE optimized geometry
data_Li3Dy3AsO8
_chemical_formula_sum 'Li3 Dy3 As1 O8'
_space_group_name_H-M_alt 'P 1'
_space_group_IT_number 1
_space_group_name_Hall 'P 1'
_cell_length_a 6.2751
_cell_length_b 6.2751
_cell_length_c 6.2751
_cell_angle_alpha 63.87
_cell_angle_beta 63.87
_cell_angle_gamma 63.87
loop_
_atom_site_label
_atom_site_fract_x
_atom_site_fract_y
_atom_site_fract_z
Li1 0.0000 0.5000 0.5000
Li2 0.5000 0.0000 0.5000
Li3 0.5000 0.5000 0.0000
Dy1 0.0000 0.0000 0.5000
Dy2 0.0000 0.5000 0.0000
Dy3 0.5000 0.0000 0.0000
As1 0.5000 0.5000 0.5000
O1 0.2446 0.2446 0.2446
O2 0.2783 0.2783 0.7214
O3 0.2783 0.7214 0.2783
O4 0.2786 0.7217 0.7217
O5 0.7214 0.2783 0.2783
O6 0.7217 0.2786 0.7217
O7 0.7217 0.7217 0.2786
O8 0.7554 0.7554 0.7554
# Magnetization, μB per atom: 0.00
# Energy relative to the elements, uncorrected, eV/atom: -2.484

# KPrSm4Se8 GGA-PBE optimized geometry
data_KPrSm4Se8
_chemical_formula_sum 'K1 Pr1 Sm4 Se8'
_space_group_name_H-M_alt 'P 1'
_space_group_IT_number 1
_space_group_name_Hall 'P 1'
_cell_length_a 8.8101
_cell_length_b 8.8101
_cell_length_c 8.8101
_cell_angle_alpha 59.49
_cell_angle_beta 59.49
_cell_angle_gamma 59.49
loop_
_atom_site_label
_atom_site_fract_x
_atom_site_fract_y
_atom_site_fract_z
K1 0.0000 0.0000 0.0000
Pr1 0.6314 0.6314 0.6314
Sm1 0.1139 0.6314 0.6314
Sm2 0.2525 0.2525 0.2525
Sm3 0.6314 0.1139 0.6314
Sm4 0.6314 0.6314 0.1139
Se1 0.3823 0.3823 0.8559
Se2 0.3823 0.8559 0.3823
Se3 0.3845 0.3845 0.3845
Se4 0.4206 0.8654 0.8654
Se5 0.8559 0.3823 0.3823
Se6 0.8614 0.8614 0.8614
Se7 0.8654 0.4206 0.8654
Se8 0.8654 0.8654 0.4206
# Magnetization, μB per atom: 0.00
# Energy relative to the elements, uncorrected, eV/atom: -1.752

# Nd8SmTm2 GGA-PBE optimized geometry
data_Nd8SmTm2
_chemical_formula_sum 'Nd8 Sm1 Tm2'
_space_group_name_H-M_alt 'P 1'
_space_group_IT_number 1
_space_group_name_Hall 'P 1'
_cell_length_a 9.4836
_cell_length_b 9.4836
_cell_length_c 6.0204
_cell_angle_alpha 105.64
_cell_angle_beta 105.64
_cell_angle_gamma 122.14
loop_
_atom_site_label
_atom_site_fract_x
_atom_site_fract_y
_atom_site_fract_z
Nd1 0.0983 0.3371 0.6813
Nd2 0.2057 0.7943 0.0000
Nd3 0.3371 0.0983 0.6813
Nd4 0.4238 0.4238 0.2051
Nd5 0.5762 0.5762 0.7949
Nd6 0.6629 0.9017 0.3187
Nd7 0.7943 0.2057 0.0000
Nd8 0.9017 0.6629 0.3187
Sm1 0.0000 0.0000 0.0000
Tm1 0.3103 0.6897 0.5000
Tm2 0.6897 0.3103 0.5000
# Formation enthalpy at 0 K, eV/atom: 0.135
# Magnetization, μB per atom: 0.00
# Energy relative to the lowest polymorph listed for this composition, eV/f.u.: 0.000

# FeSeBr2 GGA-PBE optimized geometry
data_FeSeBr2
_chemical_formula_sum 'Fe1 Se1 Br2'
_space_group_name_H-M_alt 'P 1'
_space_group_IT_number 1
_space_group_name_Hall 'P 1'
_cell_length_a 6.6189
_cell_length_b 6.6189
_cell_length_c 6.8874
_cell_angle_alpha 115.98
_cell_angle_beta 115.98
_cell_angle_gamma 27.96
loop_
_atom_site_label
_atom_site_fract_x
_atom_site_fract_y
_atom_site_fract_z
Fe1 0.0000 0.0000 0.0000
Se1 0.6316 0.6316 0.9661
Br1 0.3425 0.3425 0.7394
Br2 0.5067 0.5067 0.2948
# Magnetization, μB per atom: 0.96
# Energy relative to the elements, uncorrected, eV/atom: -0.128
# Energy relative to the lowest polymorph listed for this composition, eV/f.u.: 0.276

# NaBPb GGA-PBE optimized geometry
data_NaBPb
_chemical_formula_sum 'Na2 B2 Pb2'
_space_group_name_H-M_alt 'P 1'
_space_group_IT_number 1
_space_group_name_Hall 'P 1'
_cell_length_a 3.9405
_cell_length_b 4.8681
_cell_length_c 7.2490
_cell_angle_alpha 90.00
_cell_angle_beta 90.00
_cell_angle_gamma 90.00
loop_
_atom_site_label
_atom_site_fract_x
_atom_site_fract_y
_atom_site_fract_z
Na1 0.0000 0.0000 0.0000
Na2 0.5000 0.0000 0.5000
B1 0.0000 0.5000 0.3893
B2 0.0000 0.5000 0.6107
Pb1 0.5000 0.5000 0.2087
Pb2 0.5000 0.5000 0.7913
# Formation enthalpy at 0 K, eV/atom: 0.424
# Magnetization, μB per atom: 0.00

# FeNiMo2 GGA-PBE optimized geometry
data_FeNiMo2
_chemical_formula_sum 'Fe1 Ni1 Mo2'
_space_group_name_H-M_alt 'P 1'
_space_group_IT_number 1
_space_group_name_Hall 'P 1'
_cell_length_a 2.5983
_cell_length_b 4.3015
_cell_length_c 4.8452
_cell_angle_alpha 90.00
_cell_angle_beta 95.75
_cell_angle_gamma 90.00
loop_
_atom_site_label
_atom_site_fract_x
_atom_site_fract_y
_atom_site_fract_z
Fe1 0.0000 0.0000 0.0000
Ni1 0.0269 0.5000 0.7196
Mo1 0.4323 0.0000 0.5156
Mo2 0.6445 0.5000 0.2019
# Formation enthalpy at 0 K, eV/atom: 0.071
# Magnetization, μB per atom: 0.52
# Energy relative to the lowest polymorph listed for this composition, eV/f.u.: 0.077

# Nd3Ge GGA-PBE optimized geometry
data_Nd3Ge
_chemical_formula_sum 'Nd3 Ge1'
_space_group_name_H-M_alt 'P 1'
_space_group_IT_number 1
_space_group_name_Hall 'P 1'
_cell_length_a 3.4783
_cell_length_b 3.9816
_cell_length_c 9.5086
_cell_angle_alpha 90.00
_cell_angle_beta 90.00
_cell_angle_gamma 90.00
loop_
_atom_site_label
_atom_site_fract_x
_atom_site_fract_y
_atom_site_fract_z
Nd1 0.0000 0.0000 0.0000
Nd2 0.0000 0.5000 0.3261
Nd3 0.5000 0.5000 0.7195
Ge1 0.5000 0.0000 0.4821
# Formation enthalpy at 0 K, eV/atom: -0.096
# Magnetization, μB per atom: 0.00
# Energy relative to the lowest polymorph listed for this composition, eV/f.u.: 1.419

# TlGaS GGA-PBE optimized geometry
data_TlGaS
_chemical_formula_sum 'Tl1 Ga1 S1'
_space_group_name_H-M_alt 'P 1'
_space_group_IT_number 1
_space_group_name_Hall 'P 1'
_cell_length_a 3.7626
_cell_length_b 3.7626
_cell_length_c 6.0520
_cell_angle_alpha 90.00
_cell_angle_beta 90.00
_cell_angle_gamma 120.00
loop_
_atom_site_label
_atom_site_fract_x
_atom_site_fract_y
_atom_site_fract_z
Tl1 0.0000 0.0000 0.0000
Ga1 0.6667 0.3333 0.4030
S1 0.3333 0.6667 0.6071
# Magnetization, μB per atom: 0.00
# Energy relative to the elements, uncorrected, eV/atom: -0.288
# Energy relative to the lowest polymorph listed for this composition, eV/f.u.: 0.000

# TbScHg GGA-PBE optimized geometry
data_TbScHg
_chemical_formula_sum 'Tb1 Sc1 Hg1'
_space_group_name_H-M_alt 'P 1'
_space_group_IT_number 1
_space_group_name_Hall 'P 1'
_cell_length_a 4.9502
_cell_length_b 4.9502
_cell_length_c 3.7076
_cell_angle_alpha 90.00
_cell_angle_beta 90.00
_cell_angle_gamma 120.00
loop_
_atom_site_label
_atom_site_fract_x
_atom_site_fract_y
_atom_site_fract_z
Tb1 0.0000 0.0000 0.0000
Sc1 0.3333 0.6667 0.5033
Hg1 0.6667 0.3333 0.4864
# Formation enthalpy at 0 K, eV/atom: -0.205
# Magnetization, μB per atom: 0.15
# Energy relative to the lowest polymorph listed for this composition, eV/f.u.: 0.278

# La2HoTl GGA-PBE optimized geometry
data_La2HoTl
_chemical_formula_sum 'La2 Ho1 Tl1'
_space_group_name_H-M_alt 'P 1'
_space_group_IT_number 1
_space_group_name_Hall 'P 1'
_cell_length_a 5.6671
_cell_length_b 5.6671
_cell_length_c 5.6671
_cell_angle_alpha 60.00
_cell_angle_beta 60.00
_cell_angle_gamma 60.00
loop_
_atom_site_label
_atom_site_fract_x
_atom_site_fract_y
_atom_site_fract_z
La1 0.2500 0.2500 0.2500
La2 0.7500 0.7500 0.7500
Ho1 0.0000 0.0000 0.0000
Tl1 0.5000 0.5000 0.5000
# Formation enthalpy at 0 K, eV/atom: -0.095
# Magnetization, μB per atom: 0.19
# Energy relative to the lowest polymorph listed for this composition, eV/f.u.: 0.448

# AlSbP2 GGA-PBE optimized geometry
data_AlSbP2
_chemical_formula_sum 'Al1 Sb1 P2'
_space_group_name_H-M_alt 'P 1'
_space_group_IT_number 1
_space_group_name_Hall 'P 1'
_cell_length_a 3.6937
_cell_length_b 6.3977
_cell_length_c 6.3977
_cell_angle_alpha 32.54
_cell_angle_beta 90.00
_cell_angle_gamma 90.00
loop_
_atom_site_label
_atom_site_fract_x
_atom_site_fract_y
_atom_site_fract_z
Al1 0.0000 0.0000 0.0000
Sb1 0.5000 0.7532 0.7532
P1 0.0000 0.3229 0.3229
P2 0.5000 0.5442 0.5442
# Magnetization, μB per atom: 0.00
# Energy relative to the elements, uncorrected, eV/atom: 0.121
# Energy relative to the lowest polymorph listed for this composition, eV/f.u.: 0.763

# Zr2SnBi GGA-PBE optimized geometry
data_Zr2SnBi
_chemical_formula_sum 'Zr2 Sn1 Bi1'
_space_group_name_H-M_alt 'P 1'
_space_group_IT_number 1
_space_group_name_Hall 'P 1'
_cell_length_a 3.4400
_cell_length_b 3.4400
_cell_length_c 8.0054
_cell_angle_alpha 90.00
_cell_angle_beta 90.00
_cell_angle_gamma 90.00
loop_
_atom_site_label
_atom_site_fract_x
_atom_site_fract_y
_atom_site_fract_z
Zr1 0.0000 0.0000 0.2439
Zr2 0.0000 0.0000 0.7561
Sn1 0.5000 0.5000 0.0000
Bi1 0.5000 0.5000 0.5000
# Formation enthalpy at 0 K, eV/atom: -0.256
# Magnetization, μB per atom: 0.00

# TcOsRh2 GGA-PBE optimized geometry
data_TcOsRh2
_chemical_formula_sum 'Tc1 Os1 Rh2'
_space_group_name_H-M_alt 'P 1'
_space_group_IT_number 1
_space_group_name_Hall 'P 1'
_cell_length_a 4.7605
_cell_length_b 4.7570
_cell_length_c 3.8099
_cell_angle_alpha 66.45
_cell_angle_beta 66.35
_cell_angle_gamma 47.20
loop_
_atom_site_label
_atom_site_fract_x
_atom_site_fract_y
_atom_site_fract_z
Tc1 0.0000 0.0000 0.0000
Os1 0.5000 0.5000 0.5000
Rh1 0.2500 0.2500 0.2500
Rh2 0.7500 0.7500 0.7500
# Formation enthalpy at 0 K, eV/atom: 0.014
# Magnetization, μB per atom: 0.00
# Energy relative to the lowest polymorph listed for this composition, eV/f.u.: 0.302

# Sr2BeSn2 GGA-PBE optimized geometry
data_Sr2BeSn2
_chemical_formula_sum 'Sr2 Be1 Sn2'
_space_group_name_H-M_alt 'P 1'
_space_group_IT_number 1
_space_group_name_Hall 'P 1'
_cell_length_a 9.9007
_cell_length_b 9.9007
_cell_length_c 9.9007
_cell_angle_alpha 155.54
_cell_angle_beta 155.54
_cell_angle_gamma 34.86
loop_
_atom_site_label
_atom_site_fract_x
_atom_site_fract_y
_atom_site_fract_z
Sr1 0.0965 0.0965 0.0000
Sr2 0.9035 0.9035 0.0000
Be1 0.5000 0.5000 0.0000
Sn1 0.2500 0.7500 0.5000
Sn2 0.7500 0.2500 0.5000
# Formation enthalpy at 0 K, eV/atom: 0.143
# Magnetization, μB per atom: 0.00
# Energy relative to the lowest polymorph listed for this composition, eV/f.u.: 1.645

# CrN2 GGA-PBE optimized geometry
data_CrN2
_chemical_formula_sum 'Cr4 N8'
_space_group_name_H-M_alt 'P 1'
_space_group_IT_number 1
_space_group_name_Hall 'P 1'
_cell_length_a 5.4966
_cell_length_b 5.4966
_cell_length_c 7.3131
_cell_angle_alpha 98.61
_cell_angle_beta 98.61
_cell_angle_gamma 95.59
loop_
_atom_site_label
_atom_site_fract_x
_atom_site_fract_y
_atom_site_fract_z
Cr1 0.0118 0.0118 0.2381
Cr2 0.1869 0.4454 0.5650
Cr3 0.5546 0.8131 0.4350
Cr4 0.9882 0.9882 0.7619
N1 0.0833 0.7044 0.6742
N2 0.1861 0.2296 0.7165
N3 0.2956 0.9167 0.3258
N4 0.4716 0.5284 0.5000
N5 0.6960 0.0042 0.6459
N6 0.7704 0.8139 0.2835
N7 0.9926 0.0074 0.0000
N8 0.9958 0.3040 0.3541
# Magnetization, μB per atom: 0.00
# Energy relative to the elements, uncorrected, eV/atom: 0.199

Asked for total DFT energy (no corrections) across the records above, the calculation gives -8.279, -3.471, -7.138, -6.010, -1.744, -6.741, -5.512, -4.574, -3.952, -3.478, -8.906, -4.826, -3.461, -3.960, -4.295, -4.551, -6.501, -9.060, -2.876, -8.559 eV/atom in order.